Here is a relaxed structure of La3Co2CuO9 from Alexandria. Energies are from GGA+U.

Unit cell a=5.5237 b=5.5237 c=13.1051 alpha=90.00 beta=90.00 gamma=120.00
Space group P-3c1 (No. 165)
Asymmetric unit:
La (0.0000, 0.0000, 0.2500) [2 per cell]
La (0.3333, 0.6667, 0.0847) [4 per cell]
Co (0.3333, 0.6667, 0.3336) [4 per cell]
Cu (0.0000, 0.0000, 0.0000) [2 per cell]
O (0.0000, 0.4376, 0.2500) [6 per cell]
O (0.1056, 0.3417, 0.9145) [12 per cell]

Output
Theoretical density = 7.12 g/cm³
Final energy = -7.034 eV per atom